MnAs2W, optimized geometry, DFT PBE-GGA; ΔH_f (0 K) = 153 meV per atom; energy = -30.81 eV/cell; M_tot = 0.89 μB per atom; N(E_F) = 2.76 states/eV/cell; energy relative to the lowest polymorph listed for this composition = 142 meV per atom
1.0
-0.387 2.254 2.197
-2.277 -1.726 1.369
2.061 -4.443 4.922
As Mn W
2 1 1
Direct
0.000 0.018 0.991
0.000 0.482 0.509
0.500 0.250 0.250
0.500 0.750 0.750


NdErCdAg, optimized geometry, DFT PBE-GGA; ΔH_f (0 K) = -301 meV per atom; energy = -14.30 eV/cell; M_tot = 0.06 μB per atom; N(E_F) = 3.89 states/eV/cell; energy relative to the lowest polymorph listed for this composition = 0 meV per atom
1.0
3.707 0.000 0.000
0.000 3.707 0.000
0.000 0.000 7.560
Nd Er Cd Ag
1 1 1 1
Direct
0.500 0.500 0.112
0.500 0.500 0.596
0.000 0.000 0.839
0.000 0.000 0.381